1.
AcHgAs2O7, relaxed, DFT PBE; space group = No. 123; formation energy from raw total energies = -1.38 eV/atom; electronic total energy = -5.784 eV per atom; size of the total moment = 0.00 μB per cell
1.0
-3.390 0.262 1.396
-0.944 -3.115 -1.707
3.198 -5.825 8.859
O As Ac Hg
7 2 1 1
Direct
0.500 0.500 0.385 O
0.500 0.000 0.183 O
0.500 0.500 0.615 O
0.000 0.500 0.183 O
0.000 0.500 0.817 O
0.500 0.000 0.817 O
0.500 0.500 0.000 O
0.500 0.500 0.228 As
0.500 0.500 0.772 As
0.000 0.000 0.000 Ac
0.000 0.000 0.500 Hg

2.
PuGa3, relaxed, DFT PBE; space group = No. 25; electronic total energy = -6.037 eV per atom; size of the total moment = 5.68 μB per cell
1.0
2.906 0.000 0.000
0.000 4.609 0.000
0.000 0.000 5.958
Pu Ga
1 3
Direct
0.000 0.500 0.315 Pu
0.000 0.000 0.982 Ga
0.500 0.000 0.554 Ga
0.500 0.500 0.815 Ga

3.
LaPtF2, relaxed, DFT PBE; space group = No. 166; formation energy from raw total energies = -0.98 eV/atom; electronic total energy = -4.662 eV per atom; excess energy over the best structure of this formula in the dataset = 427 kJ/mol of formula units; size of the total moment = 0.00 μB per cell
1.0
-7.757 6.515 2.098
-6.106 6.865 4.754
-5.370 8.562 2.208
Pt F La
1 2 1
Direct
0.500 0.500 0.500 Pt
0.932 0.932 0.932 F
0.068 0.068 0.068 F
0.000 0.000 0.000 La

4.
LiIn2Pt9, relaxed, DFT PBE; space group = No. 123; electronic total energy = -5.518 eV per atom; size of the total moment = 0.00 μB per cell
1.0
3.996 0.000 0.000
0.000 3.996 0.000
0.000 0.000 11.981
Pt In Li
9 2 1
Direct
0.500 0.500 0.000 Pt
0.500 0.000 0.156 Pt
0.000 0.500 0.500 Pt
0.000 0.500 0.844 Pt
0.500 0.000 0.500 Pt
0.000 0.500 0.156 Pt
0.500 0.000 0.844 Pt
0.500 0.500 0.328 Pt
0.500 0.500 0.672 Pt
0.000 0.000 0.672 In
0.000 0.000 0.328 In
0.000 0.000 0.000 Li

5.
AsC2, relaxed, DFT PBE; space group = No. 12; electronic total energy = -7.348 eV per atom; excess energy over the best structure of this formula in the dataset = 0 kJ/mol of formula units; size of the total moment = 0.00 μB per cell
1.0
-3.153 -4.692 -1.333
-2.132 -4.039 -3.587
3.795 -6.435 -0.144
C As
4 2
Direct
0.478 0.478 0.921 C
0.042 0.042 0.151 C
0.958 0.958 0.849 C
0.522 0.522 0.079 C
0.892 0.892 0.645 As
0.108 0.108 0.355 As

6.
Sb2RuPb2, relaxed, DFT PBE; space group = No. 127; formation energy from raw total energies = 0.11 eV/atom; electronic total energy = -4.881 eV per atom; size of the total moment = 0.00 μB per cell
1.0
-5.327 3.805 2.069
-4.203 -3.751 -3.925
-0.860 -3.548 4.312
Ru Sb Pb
2 4 4
Direct
0.500 0.500 0.000 Ru
0.000 0.000 0.000 Ru
0.649 0.149 0.000 Sb
0.351 0.851 0.000 Sb
0.149 0.351 0.000 Sb
0.851 0.649 0.000 Sb
0.824 0.324 0.500 Pb
0.176 0.676 0.500 Pb
0.676 0.824 0.500 Pb
0.324 0.176 0.500 Pb

7.
YbAl6Fe6, relaxed, DFT PBE; space group = No. 71; electronic total energy = -6.093 eV per atom; size of the total moment = 10.32 μB per cell
1.0
-2.492 4.246 4.313
2.492 -4.246 4.313
2.492 4.246 -4.313
Fe Al Yb
6 6 1
Direct
0.000 0.000 0.500 Fe
0.500 0.500 0.500 Fe
0.242 0.500 0.742 Fe
0.758 0.500 0.258 Fe
0.500 0.000 0.000 Fe
0.000 0.500 0.000 Fe
0.655 0.655 0.000 Al
0.666 0.000 0.666 Al
0.811 0.311 0.500 Al
0.345 0.345 0.000 Al
0.189 0.689 0.500 Al
0.334 0.000 0.334 Al
0.000 0.000 0.000 Yb

8.
Rb2NaPrI6, relaxed, DFT PBE; space group = No. 225; formation energy from raw total energies = -1.39 eV/atom; electronic total energy = -3.125 eV per atom; excess energy over the best structure of this formula in the dataset = 40 kJ/mol of formula units; size of the total moment = 0.00 μB per cell
1.0
-3.623 -7.723 -2.383
3.761 -4.880 -6.362
4.039 -7.609 2.059
I Pr Na Rb
6 1 1 2
Direct
0.751 0.249 0.249 I
0.249 0.249 0.751 I
0.249 0.751 0.751 I
0.751 0.249 0.751 I
0.249 0.751 0.249 I
0.751 0.751 0.249 I
0.000 0.000 0.000 Pr
0.500 0.500 0.500 Na
0.750 0.750 0.750 Rb
0.250 0.250 0.250 Rb